1.
Here is a PBEsol-optimized structure of Sr2MnIr from Alexandria. Energies are from meta-GGA SCAN.

Unit cell a=5.0148 b=5.0148 c=5.0148 alpha=119.85 beta=119.85 gamma=90.26
Positions (direct):
Sr 0.0000 0.0000 0.0000
Sr 0.7500 0.2500 0.5000
Mn 0.2500 0.7500 0.5000
Ir 0.5000 0.5000 0.0000

Formation enthalpy at 0 K = 0.228 eV per atom
Energy above the lowest structure with this stoichiometry = 0.248 eV per atom
Energy = -33.248 eV per atom
SG = I-4m2



2.
Here is a PBEsol-optimized structure of Tb9Al5Se21 from Alexandria. Energies are from meta-GGA SCAN.

Unit cell a=11.7976 b=11.7976 c=11.7976 alpha=93.98 beta=93.98 gamma=93.98
Positions (direct):
Tb 0.0129 0.8065 0.6427
Tb 0.0195 0.1817 0.7988
Tb 0.1265 0.3438 0.4971
Tb 0.1349 0.9870 0.3615
Tb 0.1817 0.7988 0.0195
Tb 0.3182 0.7012 0.4783
Tb 0.3438 0.4971 0.1265
Tb 0.3615 0.1349 0.9870
Tb 0.4608 0.6791 0.8357
Tb 0.4783 0.3182 0.7012
Tb 0.4971 0.1265 0.3438
Tb 0.6427 0.0129 0.8065
Tb 0.6791 0.8357 0.4608
Tb 0.7012 0.4783 0.3182
Tb 0.7988 0.0195 0.1817
Tb 0.8065 0.6427 0.0129
Tb 0.8357 0.4608 0.6791
Tb 0.9870 0.3615 0.1349
Al 0.1077 0.1077 0.1077
Al 0.1305 0.4719 0.7966
Al 0.2961 0.9678 0.6354
Al 0.4231 0.4231 0.4231
Al 0.4719 0.7966 0.1305
Al 0.6062 0.6062 0.6062
Al 0.6354 0.2961 0.9678
Al 0.7966 0.1305 0.4719
Al 0.9245 0.9245 0.9245
Al 0.9678 0.6354 0.2961
Se 0.0115 0.9089 0.1443
Se 0.0377 0.6000 0.1143
Se 0.0420 0.1908 0.2947
Se 0.0632 0.5487 0.6265
Se 0.0912 0.7595 0.4222
Se 0.1143 0.0377 0.6000
Se 0.1443 0.0115 0.9089
Se 0.1908 0.2947 0.0420
Se 0.2146 0.3059 0.7275
Se 0.2410 0.4877 0.3490
Se 0.2529 0.7852 0.7015
Se 0.2585 0.5904 0.9235
Se 0.2947 0.0420 0.1908
Se 0.3059 0.7275 0.2146
Se 0.3490 0.2410 0.4877
Se 0.3599 0.9373 0.4489
Se 0.3969 0.5308 0.6320
Se 0.4101 0.8810 0.9604
Se 0.4222 0.0912 0.7595
Se 0.4489 0.3599 0.9373
Se 0.4877 0.3490 0.2410
Se 0.5308 0.6320 0.3969
Se 0.5487 0.6265 0.0632
Se 0.5546 0.8070 0.6620
Se 0.5904 0.9235 0.2585
Se 0.6000 0.1143 0.0377
Se 0.6265 0.0632 0.5487
Se 0.6320 0.3969 0.5308
Se 0.6620 0.5546 0.8070
Se 0.7015 0.2529 0.7852
Se 0.7275 0.2146 0.3059
Se 0.7332 0.8668 0.9798
Se 0.7595 0.4222 0.0912
Se 0.7852 0.7015 0.2529
Se 0.8070 0.6620 0.5546
Se 0.8668 0.9798 0.7332
Se 0.8810 0.9604 0.4101
Se 0.9089 0.1442 0.0115
Se 0.9235 0.2585 0.5904
Se 0.9373 0.4489 0.3599
Se 0.9604 0.4101 0.8810
Se 0.9798 0.7332 0.8668

Energy = -26.880 eV per atom
SG = R3
ΔE_f (raw) = -59.54 eV per formula unit



3.
Here is a PBEsol-optimized structure of CsNaNi2 from Alexandria. Energies are from meta-GGA SCAN.

Unit cell a=4.8399 b=4.8399 c=4.8399 alpha=60.00 beta=60.00 gamma=60.00
Positions (direct):
Cs 0.0000 0.0000 0.0000
Na 0.5000 0.5000 0.5000
Ni 0.2500 0.2500 0.2500
Ni 0.7500 0.7500 0.7500

Formation enthalpy at 0 K = 1.359 eV per atom
Energy = -17.234 eV per atom
SG = Fm-3m



4.
Here is a PBEsol-optimized structure of NdPO4 from Alexandria. Energies are from meta-GGA SCAN.

Unit cell a=7.1025 b=7.1025 c=6.3201 alpha=90.00 beta=90.00 gamma=120.00
Positions (direct):
Nd 0.0000 0.5000 0.1667
Nd 0.5000 0.0000 0.5000
Nd 0.5000 0.5000 0.8333
P 0.0000 0.5000 0.6667
P 0.5000 0.0000 0.0000
P 0.5000 0.5000 0.3333
O 0.1378 0.4459 0.8173
O 0.1378 0.6919 0.5160
O 0.3081 0.4459 0.1827
O 0.3081 0.8622 0.1506
O 0.4459 0.1378 0.8494
O 0.4459 0.3081 0.4840
O 0.5541 0.6919 0.4840
O 0.5541 0.8622 0.8494
O 0.6919 0.1378 0.1506
O 0.6919 0.5541 0.1827
O 0.8622 0.3081 0.5160
O 0.8622 0.5541 0.8173

Energy = -16.443 eV per atom
SG = P6_222
ΔE_f (raw) = -19.75 eV per formula unit



Which of these has the highest energy? NdPO4